Here is Nd2Dy7Ho2 after structural relaxation from Alexandria via LeMat-Bulk. Energies are from GGA-PBE.

The space group is C2/m (No. 12) and the conventional cell measures 11.2295, 11.5213 and 6.0833 Å, with angles of 90.00, 113.65 and 90.00 degrees. The inequivalent atoms are Nd at (0.0896, 0.0000, 0.3051), Dy at (0.0000, 0.5000, 0.5000), Dy at (0.1749, 0.2626, 0.6791), Dy at (0.2277, 0.5000, 0.0798) and Ho at (0.0000, 0.2856, 0.0000).

As for the excess energy over the best structure of this formula in the dataset: 0.0 kJ/mol of formula units. The calculation puts the theoretical density at 8089 kg/m3. The calculation puts the volume at 721 Å³ per cell. The calculated formation energy comes out at 0.1517 eV per atom.

=====

Here is LiGaSiCl2 after structural relaxation from Alexandria via LeMat-Bulk. Energies are from GGA-PBE.

The space group is P4/mmm (No. 123) and the conventional cell measures 4.4837, 4.4837 and 5.4946 Å, with angles of 90.00, 90.00 and 90.00 degrees. The inequivalent atoms are Li at (0.0000, 0.0000, 0.0000), Ga at (0.0000, 0.0000, 0.5000), Si at (0.5000, 0.5000, 0.5000) and Cl at (0.0000, 0.5000, 0.0000).

As for the excess energy over the best structure of this formula in the dataset: 38.0 kJ/mol of formula units. The calculation puts the theoretical density at 2641 kg/m3. Its formation energy without anion corrections is -0.63 eV per formula unit. The calculation puts the volume at 110 Å³ per cell.

=====

Here is BaLaZr2 after structural relaxation from Alexandria via LeMat-Bulk. Energies are from GGA-PBE.

The space group is Pm (No. 6) and the conventional cell measures 3.4750, 5.2370 and 7.5487 Å, with angles of 90.00, 103.13 and 90.00 degrees. The inequivalent atoms are Ba at (0.0000, 0.0000, 0.0000), La at (0.6752, 0.5000, 0.3417), Zr at (0.2824, 0.0000, 0.5570) and Zr at (0.3644, 0.5000, 0.7264).

As for the excess energy over the best structure of this formula in the dataset: 38.7 kJ/mol of formula units. The calculation puts the theoretical density at 5693 kg/m3. The calculation puts the volume at 134 Å³ per cell. The calculated formation energy comes out at 0.3787 eV per atom.

=====

Here is PuNpPaPt after structural relaxation from Alexandria via LeMat-Bulk. Energies are from GGA-PBE.

The space group is F-43m (No. 216) and the conventional cell measures 6.8921, 6.8921 and 6.8921 Å, with angles of 90.00, 90.00 and 90.00 degrees. The inequivalent atoms are Pu at (0.0000, 0.0000, 0.0000), Np at (0.2500, 0.2500, 0.2500), Pa at (0.0000, 0.0000, 0.5000) and Pt at (0.2500, 0.2500, 0.7500).

The calculation puts the theoretical density at 18405 kg/m3. The calculation puts the volume at 327 Å³ per cell. The calculated formation energy comes out at -0.2237 eV per atom.

=====

Here is LiPm2Ge2Ir after structural relaxation from Alexandria via LeMat-Bulk. Energies are from GGA-PBE.

The space group is Ibam (No. 72) and the conventional cell measures 6.0810, 13.9288 and 5.9786 Å, with angles of 90.00, 90.00 and 90.00 degrees. The inequivalent atoms are Li at (0.0000, 0.0000, 0.2500), Pm at (0.2392, 0.3402, 0.0000), Ge at (0.2493, 0.1070, 0.0000) and Ir at (0.0000, 0.5000, 0.2500).

The calculation puts the theoretical density at 8322 kg/m3. The calculation puts the volume at 506 Å³ per cell. The calculated formation energy comes out at -0.6978 eV per atom.

=====

Here is MoP2Au after structural relaxation from Alexandria via LeMat-Bulk. Energies are from GGA-PBE.

The space group is R-3m (No. 166, hexagonal axes) and the conventional cell measures 3.0855, 3.0855 and 23.4659 Å, with angles of 90.00, 90.00 and 120.00 degrees. The inequivalent atoms are Mo at (0.0000, 0.0000, 0.0000), P at (0.0000, 0.0000, 0.2600) and Au at (0.0000, 0.0000, 0.5000).

As for the excess energy over the best structure of this formula in the dataset: 10.0 kJ/mol of formula units. The calculation puts the theoretical density at 9137 kg/m3. The calculation puts the volume at 193 Å³ per cell. The calculated formation energy comes out at -0.0067 eV per atom.

=====

Here is Re3Os after structural relaxation from Alexandria via LeMat-Bulk. Energies are from GGA-PBE.

The space group is Pmmn (No. 59, origin choice 2) and the conventional cell measures 5.5426, 13.3749 and 4.7944 Å, with angles of 90.00, 90.00 and 90.00 degrees. The inequivalent atoms are Re at (0.9998, 0.0840, 0.1641), Re at (0.0000, 0.2500, 0.4976), Re at (0.2500, 0.0850, 0.6663), Re at (0.2500, 0.7500, 0.9984), Os at (0.2500, 0.2500, 0.0008) and Os at (0.2500, 0.5837, 0.3334).

The calculation puts the theoretical density at 20993 kg/m3. The calculation puts the volume at 355 Å³ per cell. The calculated formation energy comes out at 0.0125 eV per atom.

=====

Here is Pa4Tc2Te5 after structural relaxation from Alexandria via LeMat-Bulk. Energies are from GGA-PBE.

The space group is P2/m (No. 10) and the conventional cell measures 7.4581, 3.8189 and 11.5032 Å, with angles of 90.00, 106.75 and 90.00 degrees. The inequivalent atoms are Pa at (0.2084, 0.0000, 0.4228), Pa at (0.2651, 0.0000, 0.7945), Tc at (0.0677, 0.5000, 0.6248), Te at (0.0514, 0.5000, 0.1717), Te at (0.4621, 0.5000, 0.6439) and Te at (0.5000, 0.5000, 0.0000).

The calculation puts the theoretical density at 9306 kg/m3. Its formation energy without anion corrections is -6.86 eV per formula unit. The calculation puts the volume at 314 Å³ per cell.

=====

What is the theoretical density in the fifth record?
8322 kg/m3

=====

The lowest theoretical density belongs to which entry?
LiGaSiCl2

=====

Which value of theoretical density does entry 4 give?
18405 kg/m3

=====

The highest theoretical density belongs to which entry?
Re3Os